(1)
Below is an optimized crystal structure of KSrGeSb2, with properties calculated at the PBE level. Values from VASP.

The structure in Quantum ESPRESSO input format:
```
&SYSTEM
  ibrav = 0, nat = 5, ntyp = 4
/
ATOMIC_SPECIES
K 39.10 K.upf
Sr 87.62 Sr.upf
Ge 72.64 Ge.upf
Sb 121.76 Sb.upf
CELL_PARAMETERS angstrom
6.038 0.000 0.000
0.000 6.038 0.000
0.000 0.000 6.060
ATOMIC_POSITIONS crystal
K 0.000 0.000 0.000
Sr 0.000 0.000 0.500
Ge 0.500 0.500 0.000
Sb 0.000 0.500 0.500
Sb 0.500 0.000 0.500
```

Output
Energy relative to the elements, uncorrected (meV/atom): 686
VASP energy (eV/cell): -12.21
Spin magnetization (μB/atom): 0.1591

(2)
Below is an optimized crystal structure of TlCd2Bi2, with properties calculated at the PBE level. Values from VASP.

The structure in Quantum ESPRESSO input format:
```
&SYSTEM
  ibrav = 0, nat = 10, ntyp = 3
/
ATOMIC_SPECIES
Tl 204.38 Tl.upf
Cd 112.41 Cd.upf
Bi 208.98 Bi.upf
CELL_PARAMETERS angstrom
9.158 0.000 0.000
0.000 9.158 0.000
0.000 0.000 3.540
ATOMIC_POSITIONS crystal
Tl 0.000 0.000 0.000
Tl 0.500 0.500 0.000
Cd 0.127 0.373 0.000
Cd 0.373 0.873 0.000
Cd 0.627 0.127 0.000
Cd 0.873 0.627 0.000
Bi 0.170 0.670 0.500
Bi 0.330 0.170 0.500
Bi 0.670 0.830 0.500
Bi 0.830 0.330 0.500
```

Output
Energy relative to the elements (eV/atom): 0.0401
VASP energy (eV/cell): -23.52
ΔE to the lowest computed polymorph (eV per atom): 0.033
Spin magnetization (μB/atom): 0.0000

spin magnetization of number 1 (KSrGeSb2)?
0.1591 μB/atom

Look up the VASP energy of the second one.
-23.52 eV/cell